Material: Sr3P4Pd2
Method: DFT, PBE
State: relaxed Values from VASP.

Cell and atoms, written as Quantum ESPRESSO input:
```
&SYSTEM
  ibrav = 0, nat = 18, ntyp = 3
/
ATOMIC_SPECIES
P 30.97 P.upf
Pd 106.42 Pd.upf
Sr 87.62 Sr.upf
ATOMIC_POSITIONS crystal
P 0.9360 0.2924 0.0396
P 0.5954 0.7354 0.0900
P 0.2646 0.4046 0.4100
P 0.7076 0.0640 0.4604
P 0.2924 0.9360 0.5396
P 0.7354 0.5954 0.5900
P 0.4046 0.2646 0.9100
P 0.0640 0.7076 0.9604
Pd 0.1632 0.4243 0.0657
Pd 0.5757 0.8368 0.4343
Pd 0.4243 0.1632 0.5657
Pd 0.8368 0.5757 0.9343
Sr 0.2584 0.9967 0.0586
Sr 0.5957 0.4043 0.2500
Sr 0.0033 0.7416 0.4414
Sr 0.9967 0.2584 0.5586
Sr 0.4043 0.5957 0.7500
Sr 0.7416 0.0033 0.9414
CELL_PARAMETERS angstrom
-8.2354 0.2499 -1.3322
-2.1653 -8.0574 -0.2209
-0.7305 0.3269 6.4346
```

## Properties
VASP energy (eV per cell): -87.26
Crystal system: monoclinic